Record 1
{"formula": "Te2WIN", "functional": "GGA-PBE", "state": "optimized geometry", "e_form_raw_mev_per_atom": 2048, "total_magnetization_mub_per_fu": 3.5, "space_group": "P4/mmm, No. 123", "cell": [[5.820, 0.000, 0.000], [0.000, 5.820, 0.000], [0.000, 0.000, 3.895]], "species": ["Te", "Te", "W", "I", "N"], "frac_coords": [[0.000, 0.500, 0.000], [0.500, 0.000, 0.000], [0.000, 0.000, 0.500], [0.500, 0.500, 0.000], [0.500, 0.500, 0.500]]}



Record 2
{"formula": "CuSnAu2O8", "functional": "GGA-PBE", "state": "optimized geometry", "e_form_raw_mev_per_atom": 46, "total_magnetization_mub_per_fu": 1.3, "space_group": "I-4m2, No. 119", "cell": [[-3.286, 3.286, 3.516], [3.286, -3.286, 3.516], [3.286, 3.286, -3.516]], "species": ["Cu", "Sn", "Au", "Au", "O", "O", "O", "O", "O", "O", "O", "O"], "frac_coords": [[0.000, 0.000, 0.000], [0.750, 0.250, 0.500], [0.250, 0.750, 0.500], [0.500, 0.500, 0.000], [0.024, 0.337, 0.312], [0.024, 0.712, 0.688], [0.097, 0.279, 0.819], [0.288, 0.976, 0.312], [0.460, 0.279, 0.181], [0.663, 0.976, 0.688], [0.721, 0.540, 0.819], [0.721, 0.903, 0.181]]}



Record 3
{"formula": "Cs2HfBr6", "functional": "GGA-PBE", "state": "optimized geometry", "e_form_raw_mev_per_atom": -1679, "total_magnetization_mub_per_fu": 0.0, "space_group": "Fm-3m, No. 225", "cell": [[0.000, 5.587, 5.587], [5.587, 0.000, 5.587], [5.587, 5.587, 0.000]], "species": ["Cs", "Cs", "Hf", "Br", "Br", "Br", "Br", "Br", "Br"], "frac_coords": [[0.250, 0.250, 0.250], [0.750, 0.750, 0.750], [0.000, 0.000, 0.000], [0.235, 0.235, 0.765], [0.235, 0.765, 0.235], [0.235, 0.765, 0.765], [0.765, 0.235, 0.235], [0.765, 0.235, 0.765], [0.765, 0.765, 0.235]]}



Record 4
{"formula": "Re2PRh", "functional": "GGA-PBE", "state": "optimized geometry", "total_magnetization_mub_per_fu": 0.0, "formation_enthalpy_0k_mev_per_atom": -127.5, "space_group": "Imm2, No. 44", "cell": [[2.917, 0.000, 0.000], [0.000, 4.347, 0.000], [0.000, 0.000, 8.683]], "species": ["Re", "Re", "Re", "Re", "P", "P", "Rh", "Rh"], "frac_coords": [[0.000, 0.000, 0.000], [0.000, 0.500, 0.222], [0.500, 0.000, 0.722], [0.500, 0.500, 0.500], [0.000, 0.500, 0.722], [0.500, 0.000, 0.222], [0.000, 0.000, 0.435], [0.500, 0.500, 0.935]]}



Record 5
{"formula": "AcPm3Pd2", "functional": "GGA-PBE", "state": "optimized geometry", "total_magnetization_mub_per_fu": 0.0, "formation_enthalpy_0k_mev_per_atom": -442.0, "space_group": "C2/m, No. 12", "cell": [[8.411, -2.601, 0.000], [8.411, 2.601, 0.000], [-4.162, 0.000, 7.913]], "species": ["Ac", "Ac", "Pm", "Pm", "Pm", "Pm", "Pm", "Pm", "Pd", "Pd", "Pd", "Pd"], "frac_coords": [[0.132, 0.132, 0.205], [0.868, 0.868, 0.795], [0.062, 0.062, 0.720], [0.307, 0.307, 0.005], [0.377, 0.377, 0.492], [0.623, 0.623, 0.508], [0.693, 0.693, 0.995], [0.938, 0.938, 0.280], [0.217, 0.217, 0.624], [0.496, 0.496, 0.153], [0.504, 0.504, 0.847], [0.783, 0.783, 0.376]]}



Record 6
{"formula": "CaTl2Sb2", "functional": "GGA-PBE", "state": "optimized geometry", "e_form_raw_mev_per_atom": -269, "total_magnetization_mub_per_fu": 0.0, "space_group": "P4/mbm, No. 127", "cell": [[8.040, 0.000, 0.000], [0.000, 8.040, 0.000], [0.000, 0.000, 5.130]], "species": ["Ca", "Ca", "Tl", "Tl", "Tl", "Tl", "Sb", "Sb", "Sb", "Sb"], "frac_coords": [[0.000, 0.000, 0.000], [0.500, 0.500, 0.000], [0.170, 0.330, 0.500], [0.330, 0.830, 0.500], [0.670, 0.170, 0.500], [0.830, 0.670, 0.500], [0.126, 0.626, 0.000], [0.374, 0.126, 0.000], [0.626, 0.874, 0.000], [0.874, 0.374, 0.000]]}